No. 1
# CuRe2Te

CuRe2Te at its PBEsol-relaxed geometry (SCAN, the Alexandria database).

Lattice parameters (Å, degrees): 3.330 4.296 5.057 115.13 109.22 90.00
Element x y z (fractional)
Cu  0.246  0.746  0.493
Re  0.991  0.991  0.983
Re  0.757  0.257  0.513
Te  0.506  0.506  0.011

Properties
- M_tot: 0.00 μB/f.u.
- Uncorrected energy: -191.34 eV/cell
- DOS at the Fermi energy: 2.69 states/eV/cell
- Crystal system: orthorhombic
- Calculated volume: 15.25 A^3/atom
- Space-group type: Imm2, No. 44
- E_form (uncorrected): 0.827 eV per atom



No. 2
# FeOs3

FeOs3 at its PBEsol-relaxed geometry (SCAN, the Alexandria database).

Lattice parameters (Å, degrees): 2.694 2.694 8.346 90.00 90.00 120.00
Element x y z (fractional)
Os  0.000  0.000  0.500
Os  0.333  0.667  0.761
Os  0.333  0.667  0.239
Fe  0.000  0.000  0.000

Properties
- M_tot: 0.00 μB/f.u.
- Uncorrected energy: -233.10 eV/cell
- DOS at the Fermi energy: 3.22 states/eV/cell
- Crystal system: hexagonal
- ΔE_f: 0.167 eV per atom
- Calculated volume: 13.11 A^3/atom
- Space-group type: P-6m2, No. 187